No. 1
Compound: LiIrPd
Source: the Alexandria database
Functional: PBE
Structure: relaxed

Values from the calculation:
Electronic total energy   -5.307 eV/atom
D(E_F)   3.81 states/eV/f.u.
Formation energy   0.015 eV per atom

Cell: 10.1868 2.6585 7.5174 Å, 90.00 117.29 90.00°
Last column: nearest neighbours and their distance in Å.
Space group C2/m (No. 12)
Asymmetric unit:
Li 0.1308 0.0000 0.3470  4 Li 2.66-2.80, 2 Pd 2.68-2.69, 5 Ir 2.70-2.83
Ir 0.1078 0.5000 0.6636  3 Ir 2.43-2.66, 1 Li 2.70, 2 Pd 2.71
Pd 0.1281 0.0000 0.9895  5 Pd 2.66-2.76, 2 Li 2.68-2.69, 3 Ir 2.71-2.76

No. 2
Compound: PaMnTcRh
Source: the Alexandria database
Functional: PBE
Structure: relaxed

Values from the calculation:
Electronic total energy   -9.325 eV/atom
D(E_F)   3.36 states/eV/f.u.
Formation energy   -0.230 eV per atom

Cell: 6.5199 6.5199 6.5199 Å, 90.00 90.00 90.00°
Last column: nearest neighbours and their distance in Å.
Space group F-43m (No. 216)
Asymmetric unit:
Pa 0.0000 0.0000 0.0000  4 Tc 2.82, 4 Rh 2.82
Mn 0.0000 0.0000 0.5000  4 Tc 2.82, 4 Rh 2.82
Tc 0.2500 0.2500 0.7500  4 Mn 2.82, 4 Pa 2.82
Rh 0.2500 0.2500 0.2500  4 Mn 2.82, 4 Pa 2.82

No. 3
Compound: KY
Source: the Alexandria database
Functional: PBE
Structure: relaxed

Values from the calculation:
Electronic total energy   -3.233 eV/atom
D(E_F)   2.78 states/eV/f.u.
Formation energy   0.547 eV per atom

Cell: 13.1523 13.1523 3.5168 Å, 90.00 90.00 120.00°
Last column: nearest neighbours and their distance in Å.
Space group P6_3/m (No. 176)
Asymmetric unit:
K 0.0642 0.2908 0.2500  6 K 3.52-3.90, 1 Y 3.61
Y 0.1492 0.5975 0.2500  6 Y 3.52-3.87, 1 K 3.61

No. 4
Compound: PaMn2SiN
Source: the Alexandria database
Functional: PBE
Structure: relaxed

Values from the calculation:
Electronic total energy   -9.116 eV/atom
Energy relative to the elements, uncorrected   -0.799 eV per atom
D(E_F)   4.55 states/eV/f.u.

Cell: 3.4521 11.0624 7.1225 Å, 90.00 90.00 90.00°
Last column: nearest neighbours and their distance in Å.
Space group Cmcm (No. 63)
Asymmetric unit:
Pa 0.0000 0.0363 0.2500  4 N 2.51
Mn 0.0000 0.3304 0.0552  1 N 1.92
Si 0.0000 0.2399 0.7500  6 Mn 2.35-2.39
N 0.0000 0.5000 0.0000  2 Mn 1.92

No. 5
Compound: Ho7Hg2Pt2
Source: the Alexandria database
Functional: PBE
Structure: relaxed

Values from the calculation:
Electronic total energy   -4.614 eV/atom
D(E_F)   10.23 states/eV/f.u.
Formation energy   -0.548 eV per atom

Cell: 8.1095 10.8916 7.0782 Å, 90.00 90.00 90.00°
Last column: nearest neighbours and their distance in Å.
Space group Cmmm (No. 65)
Asymmetric unit:
Ho 0.0000 0.0000 0.0000  2 Pt 3.14
Ho 0.0000 0.5000 0.2484  2 Pt 2.90, 2 Hg 3.13
Ho 0.2500 0.2500 0.2545  2 Pt 2.74
Hg 0.1833 0.0000 0.5000  1 Hg 2.97, 6 Ho 3.13-3.27
Pt 0.0000 0.2880 0.0000  6 Ho 2.74-2.90

No. 6
Compound: KNbAgI6
Source: the Alexandria database
Functional: PBE
Structure: relaxed

Values from the calculation:
Electronic total energy   -3.167 eV/atom
Energy relative to the elements, uncorrected   -0.576 eV per atom
D(E_F)   6.17 states/eV/f.u.

Cell: 7.7106 7.7106 15.1344 Å, 90.00 90.00 120.00°
Last column: nearest neighbours and their distance in Å.
Space group P-31c (No. 163)
Asymmetric unit:
K 0.0000 0.0000 0.0000  6 I 3.58
Nb 0.3333 0.6667 0.2500  6 I 2.82
Ag 0.3333 0.6667 0.7500  6 I 3.05
I 0.0227 0.3811 0.1425  1 Nb 2.82, 1 Ag 3.05

No. 7
Compound: CaNbB2
Source: the Alexandria database
Functional: PBE
Structure: relaxed

Values from the calculation:
Electronic total energy   -5.740 eV/atom
D(E_F)   2.92 states/eV/f.u.
Formation energy   0.617 eV per atom

Cell: 6.3999 6.3999 6.7861 Å, 90.00 90.00 90.00°
Last column: nearest neighbours and their distance in Å.
Space group I-42d (No. 122)
Asymmetric unit:
Ca 0.0000 0.0000 0.0000  4 B 2.70
Nb 0.0000 0.0000 0.5000  4 B 2.17
B 0.1871 0.7500 0.6250  2 Nb 2.17

No. 8
Compound: Na2Cu2BiO6
Source: the Alexandria database
Functional: PBE
Structure: relaxed

Values from the calculation:
Electronic total energy   -4.959 eV/atom
Energy relative to the elements, uncorrected   -0.917 eV per atom
D(E_F)   4.67 states/eV/f.u.

Cell: 5.3975 5.3975 5.6222 Å, 90.00 90.00 120.00°
Last column: nearest neighbours and their distance in Å.
Space group P-31m (No. 162)
Asymmetric unit:
Na 0.3333 0.6667 0.0000  6 O 2.46
Cu 0.3333 0.6667 0.5000  6 O 2.08
Bi 0.0000 0.0000 0.5000  6 O 2.17
O 0.0000 0.3461 0.3047  2 Cu 2.08, 1 Bi 2.17

No. 9
Compound: NaTlC
Source: the Alexandria database
Functional: PBE
Structure: relaxed

Values from the calculation:
Electronic total energy   -3.943 eV/atom
D(E_F)   0.53 states/eV/f.u.
Formation energy   0.360 eV per atom

Cell: 5.0450 3.5190 16.0492 Å, 90.00 90.00 90.00°
Last column: nearest neighbours and their distance in Å.
Space group Amm2 (No. 38)
Asymmetric unit:
Na 0.0000 0.0000 0.0000  4 C 2.61
Na 0.5000 0.0000 0.1323  4 C 2.57
Tl 0.0000 0.0000 0.7638  6 Tl 3.42-3.52, 5 Na 3.73-3.79
Tl 0.5000 0.0000 0.3573  2 C 2.73
C 0.3744 0.0000 0.5224  1 C 1.27

No. 10
Compound: Ac2Tb3Nd2
Source: the Alexandria database
Functional: PBE
Structure: relaxed

Values from the calculation:
Electronic total energy   -4.362 eV/atom
D(E_F)   10.99 states/eV/f.u.
Formation energy   0.159 eV per atom

Cell: 5.8246 3.5971 12.5634 Å, 90.00 103.39 90.00°
Last column: nearest neighbours and their distance in Å.
Space group P2/m (No. 10)
Asymmetric unit:
Ac 0.0777 0.0000 0.1544  3 Tb 3.44-3.47, 3 Ac 3.60-3.77, 2 Nd 3.85
Tb 0.2179 0.0000 0.4360  4 Tb 3.30-3.60, 1 Ac 3.44, 2 Nd 3.69
Tb 0.5000 0.0000 0.0000  4 Ac 3.47, 2 Tb 3.60
Nd 0.3504 0.5000 0.6999  2 Nd 3.60, 6 Tb 3.69-3.81, 4 Ac 3.85-3.86

No. 11
Compound: Cu2SiOs
Source: the Alexandria database
Functional: PBE
Structure: relaxed

Values from the calculation:
Electronic total energy   -6.201 eV/atom
Energy relative to the elements, uncorrected   0.010 eV per atom
D(E_F)   1.87 states/eV/f.u.

Cell: 8.6295 2.9115 4.3690 Å, 90.00 110.12 90.00°
Last column: nearest neighbours and their distance in Å.
Space group Cm (No. 8)
Asymmetric unit:
Cu 0.0000 0.0000 0.0000  3 Cu 2.42-2.51, 2 Si 2.58, 4 Os 2.63-2.64
Cu 0.2476 0.0000 0.8598  3 Cu 2.42-2.51, 2 Si 2.53
Si 0.2348 0.5000 0.3781  3 Os 2.41-2.47, 4 Cu 2.53-2.58
Os 0.4701 0.0000 0.4777  3 Si 2.41-2.47, 4 Cu 2.63-2.64

No. 12
Compound: BaCaPt2
Source: the Alexandria database
Functional: PBE
Structure: relaxed

Values from the calculation:
Electronic total energy   -4.307 eV/atom
D(E_F)   0.00 states/eV/f.u.
Formation energy   -0.305 eV per atom

Cell: 6.8091 6.8091 13.2613 Å, 90.00 90.00 90.00°
Last column: nearest neighbours and their distance in Å.
Space group I-42d (No. 122)
Asymmetric unit:
Ba 0.0000 0.0000 0.0000  4 Pt 3.05
Ca 0.0000 0.0000 0.5000  4 Pt 2.80
Pt 0.2183 0.2500 0.6250  2 Ca 2.80, 2 Ba 3.05

No. 13
Compound: Ge3RhBr
Source: the Alexandria database
Functional: PBE
Structure: relaxed

Values from the calculation:
Electronic total energy   -4.534 eV/atom
Energy relative to the elements, uncorrected   0.041 eV per atom
D(E_F)   4.54 states/eV/f.u.

Cell: 4.8587 4.8587 4.8587 Å, 90.00 90.00 90.00°
Last column: nearest neighbours and their distance in Å.
Space group Pm-3m (No. 221)
Asymmetric unit:
Ge 0.0000 0.0000 0.5000  2 Rh 2.43
Rh 0.0000 0.0000 0.0000  6 Ge 2.43
Br 0.5000 0.5000 0.5000  12 Ge 3.44

No. 14
Compound: TiGeRh2
Source: the Alexandria database
Functional: PBE
Structure: relaxed

Values from the calculation:
Electronic total energy   -7.415 eV/atom
D(E_F)   3.56 states/eV/f.u.
Formation energy   -0.611 eV per atom

Cell: 3.2247 3.2247 5.7060 Å, 90.00 90.00 90.00°
Last column: nearest neighbours and their distance in Å.
Space group P4/mmm (No. 123)
Asymmetric unit:
Ti 0.0000 0.0000 0.0000  8 Rh 2.69, 2 Ge 2.85
Ge 0.0000 0.0000 0.5000  8 Rh 2.69, 2 Ti 2.85
Rh 0.5000 0.5000 0.2507  4 Ge 2.69, 4 Ti 2.69, 2 Rh 2.84-2.86

No. 15
Compound: Ac7Pr12Mg
Source: the Alexandria database
Functional: PBE
Structure: relaxed

Values from the calculation:
Electronic total energy   -4.201 eV/atom
D(E_F)   34.28 states/eV/f.u.
Formation energy   0.184 eV per atom

Cell: 13.0578 13.0578 16.0465 Å, 90.00 90.00 120.00°
Last column: nearest neighbours and their distance in Å.
Space group R-3 (No. 148, hexagonal axes)
Asymmetric unit:
Ac 0.0000 0.0000 0.0000  6 Pr 3.78, 6 Ac 3.85
Ac 0.0067 0.5757 0.6996  6 Pr 3.52-3.83, 1 Ac 3.85
Pr 0.0294 0.8470 0.8093  5 Pr 3.71-3.95, 5 Ac 3.77-3.96
Pr 0.0734 0.2521 0.4228  1 Mg 3.18, 2 Ac 3.52-3.54
Mg 0.0000 0.0000 0.5000  6 Pr 3.18

No. 16
Compound: PrScAs
Source: the Alexandria database
Functional: PBE
Structure: relaxed

Values from the calculation:
Electronic total energy   -5.940 eV/atom
D(E_F)   4.04 states/eV/f.u.
Formation energy   -0.687 eV per atom

Cell: 4.6097 4.6097 4.1825 Å, 90.00 90.00 120.00°
Last column: nearest neighbours and their distance in Å.
Space group P3m1 (No. 156)
Asymmetric unit:
Pr 0.0000 0.0000 0.0000  6 As 3.26-3.52, 6 Sc 3.38-3.39
Sc 0.3333 0.6667 0.5018  3 As 2.67
As 0.6667 0.3333 0.4500  3 Sc 2.67

No. 17
Compound: Cr2WSe
Source: the Alexandria database
Functional: PBE
Structure: relaxed

Values from the calculation:
Electronic total energy   -8.363 eV/atom
Energy relative to the elements, uncorrected   0.558 eV per atom
D(E_F)   3.88 states/eV/f.u.

Cell: 3.9366 3.9366 7.3801 Å, 90.00 90.00 90.00°
Last column: nearest neighbours and their distance in Å.
Space group I4/mmm (No. 139)
Asymmetric unit:
Cr 0.0000 0.5000 0.2500  4 Se 2.70, 4 W 2.70, 4 Cr 2.78
W 0.0000 0.0000 0.0000  8 Cr 2.70, 4 Se 2.78
Se 0.0000 0.0000 0.5000  8 Cr 2.70, 4 W 2.78

No. 18
Compound: HfPd3Au
Source: the Alexandria database
Functional: PBE
Structure: relaxed

Values from the calculation:
Electronic total energy   -5.982 eV/atom
D(E_F)   1.87 states/eV/f.u.
Formation energy   -0.220 eV per atom

Cell: 12.1034 4.2150 8.2425 Å, 90.00 101.97 90.00°
Last column: nearest neighbours and their distance in Å.
Space group C2/m (No. 12)
Asymmetric unit:
Hf 0.1949 0.0000 0.1498  6 Pd 2.70-2.76, 1 Au 2.78
Pd 0.0990 0.5000 0.2721  4 Pd 2.68-2.75, 2 Hf 2.70, 2 Au 2.73-2.89
Pd 0.1054 0.5000 0.9486  1 Au 2.68, 3 Pd 2.68-2.85, 3 Hf 2.70-2.76
Pd 0.1826 0.0000 0.4725  4 Pd 2.65-2.74, 1 Hf 2.70, 3 Au 2.73-2.89
Au 0.1006 0.5000 0.6226  6 Pd 2.68-2.89, 1 Hf 2.78, 1 Au 2.82

No. 19
Compound: HoZn8Co4
Source: the Alexandria database
Functional: PBE
Structure: relaxed

Values from the calculation:
Electronic total energy   -3.487 eV/atom
D(E_F)   9.00 states/eV/f.u.
Formation energy   -0.165 eV per atom

Cell: 8.6155 8.6155 4.9895 Å, 90.00 90.00 90.00°
Last column: nearest neighbours and their distance in Å.
Space group I4/mmm (No. 139)
Asymmetric unit:
Ho 0.0000 0.0000 0.0000  12 Zn 2.92-3.16
Zn 0.0000 0.2245 0.5000  4 Co 2.50, 6 Zn 2.68-2.75
Zn 0.0000 0.3388 0.0000  4 Co 2.60, 5 Zn 2.68-2.78
Co 0.2500 0.2500 0.2500  2 Co 2.49, 8 Zn 2.50-2.60

No. 20
Compound: MgTa2W
Source: the Alexandria database
Functional: PBE
Structure: relaxed

Values from the calculation:
Electronic total energy   -9.383 eV/atom
D(E_F)   4.56 states/eV/f.u.
Formation energy   0.180 eV per atom

Cell: 3.2602 4.5998 9.6030 Å, 90.00 90.00 90.00°
Last column: nearest neighbours and their distance in Å.
Space group Cmm2 (No. 35)
Asymmetric unit:
Mg 0.0000 0.0000 0.0000  4 Mg 2.82, 2 W 2.90, 2 Ta 3.05
Ta 0.0000 0.0000 0.4833  2 W 2.78, 6 Ta 2.82-2.89
Ta 0.0000 0.5000 0.7320  6 Ta 2.82-2.89, 2 Mg 3.05
W 0.0000 0.5000 0.2493  2 Ta 2.78, 4 W 2.82, 2 Mg 2.90